[1]
{
  "formula": "GeI2NO",
  "functional": "GGA-PBE",
  "state": "relaxed",
  "raw_formation_energy_ev_per_atom": 1.310,
  "magmom_total_mub_per_cell": 1.76,
  "relative_energy_mev_per_atom": 513.5,
  "lattice_angstrom": [[5.1081, 0.0000, 0.0000], [0.0000, 5.1081, 0.0000], [0.0000, 0.0000, 4.0162]],
  "species": ["Ge", "I", "I", "N", "O"],
  "frac_coords": [[0.0000, 0.0000, 0.0000], [0.0000, 0.5000, 0.5000], [0.5000, 0.0000, 0.5000], [0.5000, 0.5000, 0.0000], [0.5000, 0.5000, 0.5000]]
}

=====

[2]
{
  "formula": "SrInTe2O8",
  "functional": "GGA-PBE",
  "state": "relaxed",
  "raw_formation_energy_ev_per_atom": -1.245,
  "magmom_total_mub_per_cell": 0.00,
  "lattice_angstrom": [[2.6990, 1.5583, 7.3971], [-2.6990, 1.5583, 7.3971], [0.0000, -3.1165, 7.3971]],
  "species": ["Sr", "In", "Te", "Te", "O", "O", "O", "O", "O", "O", "O", "O"],
  "frac_coords": [[0.0000, 0.0000, 0.0000], [0.5000, 0.5000, 0.5000], [0.2415, 0.2415, 0.2415], [0.7585, 0.7585, 0.7585], [0.1183, 0.7824, 0.4265], [0.2176, 0.5735, 0.8817], [0.3245, 0.3245, 0.3245], [0.4265, 0.1183, 0.7824], [0.5735, 0.8817, 0.2176], [0.6755, 0.6755, 0.6755], [0.7824, 0.4265, 0.1183], [0.8817, 0.2176, 0.5735]]
}

=====

[3]
{
  "formula": "Nd2SmHoP4",
  "functional": "GGA-PBE",
  "state": "relaxed",
  "total_energy_ev_per_cell": -52.94,
  "magmom_total_mub_per_cell": 0.00,
  "lattice_angstrom": [[7.1132, 0.0000, 0.0000], [0.0000, 4.1109, 0.0000], [-2.3705, 0.0000, 6.7082]],
  "species": ["Nd", "Nd", "Sm", "Ho", "P", "P", "P", "P"],
  "frac_coords": [[0.0000, 0.0000, 0.0000], [0.0000, 0.5000, 0.5000], [0.5000, 0.0000, 0.5000], [0.5000, 0.5000, 0.0000], [0.2560, 0.5000, 0.2487], [0.2584, 0.0000, 0.7560], [0.7416, 0.0000, 0.2440], [0.7440, 0.5000, 0.7513]]
}